No. 1
VASP calculation (PBE-GGA) on a relaxed structure of Pr2Nd5SmEr.

abc: 8.767 8.767 10.325
angles: 115.12 115.12 90.00
Element x y z (fractional)
Er (0.250, 0.750, 0.500)
Er (0.750, 0.250, 0.500)
Sm (0.250, 0.250, 0.500)
Sm (0.750, 0.750, 0.500)
Nd (0.500, 0.500, 0.000)
Nd (0.573, 0.642, 0.715)
Nd (0.142, 0.073, 0.715)
Nd (0.073, 0.573, 0.715)
Nd (0.427, 0.358, 0.285)
Nd (0.000, 0.000, 0.000)
Nd (0.927, 0.427, 0.285)
Nd (0.642, 0.142, 0.715)
Nd (0.858, 0.927, 0.285)
Nd (0.358, 0.858, 0.285)
Pr (0.620, 0.120, 0.000)
Pr (0.380, 0.880, 0.000)
Pr (0.880, 0.620, 0.000)
Pr (0.120, 0.380, 0.000)

The uncorrected energy is -80.50 eV for the cell shown. Its formation energy is 0.270 eV/atom.



No. 2
VASP calculation (PBE-GGA) on a relaxed structure of Pr5NdSm2Er.

abc: 8.994 8.994 10.141
angles: 116.32 116.32 90.00
Element x y z (fractional)
Pr (0.930, 0.430, 0.277)
Pr (0.653, 0.153, 0.723)
Pr (0.570, 0.653, 0.723)
Pr (0.000, 0.000, 0.000)
Pr (0.070, 0.570, 0.723)
Pr (0.430, 0.347, 0.277)
Pr (0.347, 0.847, 0.277)
Pr (0.500, 0.500, 0.000)
Pr (0.153, 0.070, 0.723)
Pr (0.847, 0.930, 0.277)
Sm (0.384, 0.884, 0.000)
Sm (0.116, 0.384, 0.000)
Sm (0.884, 0.616, 0.000)
Sm (0.616, 0.116, 0.000)
Nd (0.750, 0.750, 0.500)
Nd (0.250, 0.250, 0.500)
Er (0.250, 0.750, 0.500)
Er (0.750, 0.250, 0.500)

The uncorrected energy is -80.25 eV for the cell shown. Its formation energy is 0.282 eV/atom.



No. 3
VASP calculation (PBE-GGA) on a relaxed structure of PrNdSm4Er2.

abc: 9.586 9.585 11.928
angles: 128.56 128.56 88.01
Element x y z (fractional)
Sm (0.721, 0.727, 0.977)
Sm (0.773, 0.779, 0.523)
Sm (0.754, 0.244, 0.507)
Sm (0.256, 0.746, 0.993)
Sm (0.279, 0.273, 0.023)
Sm (0.744, 0.254, 0.007)
Sm (0.227, 0.221, 0.477)
Sm (0.246, 0.756, 0.493)
Er (0.000, 0.000, 0.500)
Er (0.500, 0.000, 0.000)
Er (0.500, 0.500, 0.000)
Er (0.500, 0.000, 0.500)
Nd (0.000, 0.000, 0.000)
Nd (0.500, 0.500, 0.500)
Pr (0.000, 0.500, 0.000)
Pr (0.000, 0.500, 0.500)

The uncorrected energy is -68.76 eV for the cell shown. Its formation energy is 0.396 eV/atom.



No. 4
VASP calculation (PBE-GGA) on a relaxed structure of PrNd2Sm5Er.

abc: 8.852 8.852 10.084
angles: 116.03 116.03 90.00
Element x y z (fractional)
Sm (0.072, 0.572, 0.723)
Sm (0.152, 0.072, 0.723)
Sm (0.348, 0.848, 0.277)
Sm (0.428, 0.348, 0.277)
Sm (0.572, 0.652, 0.723)
Sm (0.000, 0.000, 0.000)
Sm (0.500, 0.500, 0.000)
Sm (0.848, 0.928, 0.277)
Sm (0.928, 0.428, 0.277)
Sm (0.652, 0.152, 0.723)
Pr (0.750, 0.750, 0.500)
Pr (0.250, 0.250, 0.500)
Nd (0.883, 0.617, 0.000)
Nd (0.617, 0.117, 0.000)
Nd (0.383, 0.883, 0.000)
Nd (0.117, 0.383, 0.000)
Er (0.750, 0.250, 0.500)
Er (0.250, 0.750, 0.500)

The uncorrected energy is -80.09 eV for the cell shown. Its formation energy is 0.270 eV/atom.